# 1
TbHoHgRu: optimized geometry, GGA-PBE.

a b c (Å): 3.4753 3.4753 7.5278
angles (deg): 90.00 90.00 90.00
With the nearest neighbours (Å) after each atom.
Positions (direct):
Tb 0.0000 0.0000 0.0000  4 Ru 2.98, 4 Hg 3.26, 1 Ho 3.31
Ho 0.0000 0.0000 0.5599  4 Ru 2.95, 4 Hg 3.22
Hg 0.5000 0.5000 0.2837  4 Ho 3.22, 4 Tb 3.26, 4 Hg 3.48
Ru 0.5000 0.5000 0.7772  4 Ho 2.95, 4 Tb 2.98

Energy relative to the elements in eV/atom: -0.482
Space-group type: P4mm, No. 99
Relative energy among the computed polymorphs in meV per atom: 0.0

---

# 2
Ba6CdP2I3: optimized geometry, GGA-PBE.

a b c (Å): 11.2388 11.2388 10.2921
angles (deg): 105.33 105.33 24.55
With the nearest neighbours (Å) after each atom.
Positions (direct):
Ba 0.0180 0.0180 0.2512  1 P 3.20, 2 Cd 3.46
Ba 0.3214 0.3214 0.4448  3 P 3.22-3.23
Ba 0.3346 0.3346 0.8753  2 P 3.24, 1 Cd 3.51
Ba 0.6654 0.6654 0.1247  2 P 3.24, 1 Cd 3.51
Ba 0.6786 0.6786 0.5552  3 P 3.22-3.23
Ba 0.9820 0.9820 0.7488  1 P 3.20, 2 Cd 3.46
Cd 0.5000 0.5000 0.0000  6 Ba 3.46-3.51
P 0.1694 0.1694 0.3389  6 Ba 3.20-3.24
P 0.8306 0.8306 0.6611  6 Ba 3.20-3.24
I 0.1646 0.1646 0.8302  6 Ba 3.63-3.87
I 0.5000 0.5000 0.5000  6 Ba 3.60-3.81
I 0.8354 0.8354 0.1698  6 Ba 3.63-3.87

Formation energy (no corrections) in eV per formula unit: -14.126
Space-group type: C2/m, No. 12

---

The records above give, respectively, final energy values of -20.72; -42.05 eV/f.u..
The records above give, respectively, size of the total moment values of 0.0; 2.2 μB/cell.